No. 1
Te2PtCl meta-GGA SCAN PBEsol geometry; DOS(E_F) = 2.1 states/eV per cell; formation energy from raw total energies = 0.1 eV per formula unit; total magnetization = 0.00 Bohr magnetons per cell; space-group type = Cmm2 (35)
1.0
3.288 0.061 0.000
-1.236 3.047 0.000
0.000 0.000 9.557
Te Pt Cl
2 1 1
direct
0.000 0.000 0.068 Te
0.500 0.500 0.756 Te
0.500 0.500 0.252 Pt
0.000 0.000 0.423 Cl

***

No. 2
Te2PtCl meta-GGA SCAN PBEsol geometry; DOS(E_F) = 1.3 states/eV per cell; formation energy from raw total energies = -1.2 eV per formula unit; total magnetization = 0.00 Bohr magnetons per cell; space-group type = Cm (8)
1.0
-1.456 1.237 2.653
2.890 -1.469 2.270
3.591 6.809 -3.617
Te Pt Cl
2 1 1
direct
0.033 0.088 0.175 Te
0.956 0.286 0.572 Te
0.104 0.696 0.393 Pt
0.407 0.430 0.860 Cl

***

No. 3
Te2Pt2Cl meta-GGA SCAN PBEsol geometry; DOS(E_F) = 2.4 states/eV per cell; formation energy from raw total energies = -1.0 eV per formula unit; total magnetization = 0.00 Bohr magnetons per cell; space-group type = I4/mmm (139)
1.0
-3.142 4.115 0.214
-1.180 -3.980 -3.515
-4.007 -3.114 1.052
Te Pt Cl
2 2 1
direct
0.750 0.500 0.750 Te
0.250 0.500 0.250 Te
0.661 0.323 0.339 Pt
0.339 0.677 0.661 Pt
0.000 0.000 0.000 Cl